# 1
DFT (PBE) results for crystalline Er8SiPb2 at its relaxed geometry.

Values from the calculation:
**ρ**: 9.5 g/cm3
**Space group**: No. 12
**Formation energy without anion corrections**: -0.277 eV per atom
**Calculated total energy**: -4.76 eV/atom

a b c (Å): 10.0171 10.0171 6.6588
angles (deg): 103.62 103.62 28.69
With the nearest neighbours (Å) after each atom.
Fractional coordinates of all 11 atoms:
Er 0.0210 0.0210 0.2770  2 Si 2.97, 1 Pb 3.14, 1 Er 3.26
Er 0.2186 0.2186 0.8265  3 Pb 3.17-3.29, 4 Er 3.34-3.41
Er 0.3517 0.3517 0.4929  1 Si 2.87, 2 Pb 3.11
Er 0.4122 0.4122 0.0376  1 Si 3.14, 3 Er 3.39-3.51, 2 Pb 3.43
Er 0.5878 0.5878 0.9624  1 Si 3.14, 3 Er 3.39-3.51, 2 Pb 3.43
Er 0.6483 0.6483 0.5071  1 Si 2.87, 2 Pb 3.11
Er 0.7814 0.7814 0.1735  3 Pb 3.17-3.29, 4 Er 3.34-3.41
Er 0.9790 0.9790 0.7230  2 Si 2.97, 1 Pb 3.14, 1 Er 3.26
Si 0.5000 0.5000 0.5000  8 Er 2.87-3.14
Pb 0.1816 0.1816 0.2653  9 Er 3.11-3.43
Pb 0.8184 0.8184 0.7347  9 Er 3.11-3.43

# 2
DFT (PBE) results for crystalline LaMgZn2Cu at its relaxed geometry.

Values from the calculation:
**ρ**: 4.3 g/cm3
**Formation energy from the elements**: 3.3 eV per formula unit
**Space group**: No. 123
**Offset from the most stable computed form**: 780 meV per atom
**Calculated total energy**: -1.97 eV/atom

a b c (Å): 4.8514 4.8514 5.9355
angles (deg): 90.00 90.00 90.00
With the nearest neighbours (Å) after each atom.
Fractional coordinates of all 5 atoms:
La 0.0000 0.0000 0.0000  2 Mg 2.97
Mg 0.0000 0.0000 0.5000  4 Zn 2.43
Zn 0.0000 0.5000 0.5000  2 Mg 2.43
Zn 0.5000 0.0000 0.5000  2 Mg 2.43
Cu 0.5000 0.5000 0.0000  4 La 3.43, 8 Zn 3.83

# 3
DFT (PBE) results for crystalline SrLa3Os at its relaxed geometry.

Values from the calculation:
**ρ**: 5.3 g/cm3
**Formation energy from the elements**: 1.5 eV per formula unit
**Space group**: No. 194
**Offset from the most stable computed form**: 376 meV per atom
**Calculated total energy**: -5.25 eV/atom

a b c (Å): 4.6624 4.6624 23.1848
angles (deg): 90.00 90.00 120.00
With the nearest neighbours (Å) after each atom.
Fractional coordinates of all 10 atoms:
Sr 0.0000 0.0000 0.0000  6 La 4.06
Sr 0.0000 0.0000 0.5000  6 La 4.06
La 0.0000 0.0000 0.2500  3 Os 2.69
La 0.0000 0.0000 0.7500  3 Os 2.69
La 0.3333 0.6667 0.1314  1 Os 2.75
La 0.3333 0.6667 0.3686  1 Os 2.75
La 0.6667 0.3333 0.6314  1 Os 2.75
La 0.6667 0.3333 0.8686  1 Os 2.75
Os 0.3333 0.6667 0.2500  5 La 2.69-2.75
Os 0.6667 0.3333 0.7500  5 La 2.69-2.75

# 4
DFT (PBE) results for crystalline La3ScBi at its relaxed geometry.

Values from the calculation:
**ρ**: 6.4 g/cm3
**Formation energy from the elements**: 1.1 eV per formula unit
**Space group**: No. 221
**Offset from the most stable computed form**: 0 meV per atom
**Calculated total energy**: -4.78 eV/atom

a b c (Å): 5.5912 5.5912 5.5912
angles (deg): 90.00 90.00 90.00
With the nearest neighbours (Å) after each atom.
Fractional coordinates of all 5 atoms:
La 0.0000 0.0000 0.5000  2 Sc 2.80
La 0.0000 0.5000 0.0000  2 Sc 2.80
La 0.5000 0.0000 0.0000  2 Sc 2.80
Sc 0.0000 0.0000 0.0000  6 La 2.80
Bi 0.5000 0.5000 0.5000  12 La 3.95

# 5
DFT (PBE) results for crystalline Hf2GePb at its relaxed geometry.

Values from the calculation:
**ρ**: 11.6 g/cm3
**Formation energy from the elements**: -0.9 eV per formula unit
**Space group**: No. 160
**Offset from the most stable computed form**: 0 meV per atom
**Calculated total energy**: -7.29 eV/atom

a b c (Å): 3.6943 3.6943 23.1211
angles (deg): 90.00 90.00 120.00
With the nearest neighbours (Å) after each atom.
Fractional coordinates of all 12 atoms:
Hf 0.0000 0.0000 0.0000  3 Ge 2.63
Hf 0.0000 0.0000 0.1989  3 Ge 2.65
Hf 0.3333 0.6667 0.6667  3 Ge 2.63
Hf 0.3333 0.6667 0.8656  3 Ge 2.65
Hf 0.6667 0.3333 0.3333  3 Ge 2.63
Hf 0.6667 0.3333 0.5322  3 Ge 2.65
Ge 0.0000 0.0000 0.6002  6 Hf 2.63-2.65
Ge 0.3333 0.6667 0.2669  6 Hf 2.63-2.65
Ge 0.6667 0.3333 0.9335  6 Hf 2.63-2.65
Pb 0.0000 0.0000 0.4320  6 Hf 3.12-3.15
Pb 0.3333 0.6667 0.0986  6 Hf 3.12-3.15
Pb 0.6667 0.3333 0.7653  6 Hf 3.12-3.15

# 6
DFT (PBE) results for crystalline In2Ga2Si at its relaxed geometry.

Values from the calculation:
**ρ**: 5.6 g/cm3
**Space group**: No. 127
**Formation energy without anion corrections**: 0.320 eV per atom
**Offset from the most stable computed form**: 145 meV per atom
**Calculated total energy**: -3.07 eV/atom

a b c (Å): 7.2921 7.2921 4.3947
angles (deg): 90.00 90.00 90.00
With the nearest neighbours (Å) after each atom.
Fractional coordinates of all 10 atoms:
In 0.1471 0.3529 0.0000  2 Si 2.79, 2 Ga 2.95, 1 In 3.03
In 0.3529 0.8529 0.0000  2 Si 2.79, 2 Ga 2.95, 1 In 3.03
In 0.6471 0.1471 0.0000  2 Si 2.79, 2 Ga 2.95, 1 In 3.03
In 0.8529 0.6471 0.0000  2 Si 2.79, 2 Ga 2.95, 1 In 3.03
Ga 0.1614 0.6614 0.5000  6 In 2.95-3.15
Ga 0.3386 0.1614 0.5000  6 In 2.95-3.15
Ga 0.6614 0.8386 0.5000  6 In 2.95-3.15
Ga 0.8386 0.3386 0.5000  6 In 2.95-3.15
Si 0.0000 0.0000 0.0000  4 In 2.79
Si 0.5000 0.5000 0.0000  4 In 2.79

# 7
DFT (PBE) results for crystalline Li2POs at its relaxed geometry.

Values from the calculation:
**ρ**: 7.3 g/cm3
**Formation energy from the elements**: -1.1 eV per formula unit
**Space group**: No. 99
**Calculated total energy**: -5.40 eV/atom

a b c (Å): 3.0337 3.0337 5.8208
angles (deg): 90.00 90.00 90.00
With the nearest neighbours (Å) after each atom.
Fractional coordinates of all 4 atoms:
Li 0.0000 0.0000 0.0000  1 Os 2.64, 4 P 2.65, 4 Li 2.66
Li 0.5000 0.5000 0.2708  4 Li 2.66, 4 Os 2.68, 1 P 2.69
P 0.5000 0.5000 0.7333  4 Os 2.41, 5 Li 2.65-2.69
Os 0.0000 0.0000 0.5462  4 P 2.41, 5 Li 2.64-2.68

# 8
DFT (PBE) results for crystalline Nd2SnBi at its relaxed geometry.

Values from the calculation:
**ρ**: 7.5 g/cm3
**Formation energy from the elements**: -2.6 eV per formula unit
**Space group**: No. 160
**Offset from the most stable computed form**: 209 meV per atom
**Calculated total energy**: -5.00 eV/atom

a b c (Å): 4.3693 4.3693 24.8871
angles (deg): 90.00 90.00 120.00
With the nearest neighbours (Å) after each atom.
Fractional coordinates of all 12 atoms:
Nd 0.0000 0.0000 0.0000  3 Bi 3.20, 3 Sn 3.29
Nd 0.0000 0.0000 0.1725  3 Bi 3.24, 3 Sn 3.33
Nd 0.3333 0.6667 0.6667  3 Bi 3.20, 3 Sn 3.29
Nd 0.3333 0.6667 0.8392  3 Bi 3.24, 3 Sn 3.33
Nd 0.6667 0.3333 0.3333  3 Bi 3.20, 3 Sn 3.29
Nd 0.6667 0.3333 0.5058  3 Bi 3.24, 3 Sn 3.33
Sn 0.0000 0.0000 0.4183  6 Nd 3.29-3.33
Sn 0.3333 0.6667 0.0850  6 Nd 3.29-3.33
Sn 0.6667 0.3333 0.7516  6 Nd 3.29-3.33
Bi 0.0000 0.0000 0.5876  6 Nd 3.20-3.24
Bi 0.3333 0.6667 0.2543  6 Nd 3.20-3.24
Bi 0.6667 0.3333 0.9209  6 Nd 3.20-3.24